! GGA-PBE TbSnPtRh, optimized geometry; values from VASP
! Calculated total energy, eV/atom: -6.31
! Formation energy from the elements, eV/atom: -0.808
! Space-group type: F-43m (216)
! DOS(E_F), states/eV/cell: 3.213
&SYSTEM
  ibrav = 0, nat = 4, ntyp = 4
/
ATOMIC_SPECIES
Tb 158.93 Tb.upf
Sn 118.71 Sn.upf
Pt 195.08 Pt.upf
Rh 102.91 Rh.upf
CELL_PARAMETERS angstrom
0.0000 3.3732 3.3732
3.3732 0.0000 3.3732
3.3732 3.3732 0.0000
ATOMIC_POSITIONS crystal
Tb 0.0000 0.0000 0.0000
Sn 0.5000 0.5000 0.5000
Pt 0.7500 0.7500 0.7500
Rh 0.2500 0.2500 0.2500


! GGA-PBE PrSmDy2Th, optimized geometry; values from VASP
! Calculated total energy, eV/atom: -5.18
! Formation energy from the elements, eV/atom: 0.047
! Space-group type: P2_1/m (11)
! DOS(E_F), states/eV/cell: 16.545
&SYSTEM
  ibrav = 0, nat = 10, ntyp = 4
/
ATOMIC_SPECIES
Pr 140.91 Pr.upf
Sm 150.36 Sm.upf
Dy 162.50 Dy.upf
Th 232.04 Th.upf
CELL_PARAMETERS angstrom
6.2712 0.0000 0.0000
0.0000 5.8387 0.0000
-3.1281 0.0000 9.1256
ATOMIC_POSITIONS crystal
Pr 0.0720 0.2500 0.2951
Pr 0.9280 0.7500 0.7049
Sm 0.2752 0.2500 0.7038
Sm 0.7248 0.7500 0.2962
Dy 0.3282 0.7500 0.4930
Dy 0.4548 0.2500 0.0972
Dy 0.5452 0.7500 0.9028
Dy 0.6718 0.2500 0.5070
Th 0.1304 0.7500 0.0921
Th 0.8696 0.2500 0.9079


! GGA-PBE Tl2ZnCu, optimized geometry; values from VASP
! Calculated total energy, eV/atom: -2.27
! Formation energy from the elements, eV/atom: 0.259
! Space-group type: R-3m (166)
! DOS(E_F), states/eV/cell: 1.035
&SYSTEM
  ibrav = 0, nat = 4, ntyp = 3
/
ATOMIC_SPECIES
Tl 204.38 Tl.upf
Zn 65.41 Zn.upf
Cu 63.55 Cu.upf
CELL_PARAMETERS angstrom
1.7391 1.0041 8.4558
-1.7391 1.0041 8.4558
0.0000 -2.0081 8.4558
ATOMIC_POSITIONS crystal
Tl 0.2445 0.2445 0.2445
Tl 0.7555 0.7555 0.7555
Zn 0.0000 0.0000 0.0000
Cu 0.5000 0.5000 0.5000


! GGA-PBE AgP2IO8, optimized geometry; values from VASP
! Calculated total energy, eV/atom: -5.75
! Space-group type: C2/m (12)
! Energy relative to the elements, uncorrected, eV per atom: -1.172
&SYSTEM
  ibrav = 0, nat = 12, ntyp = 4
/
ATOMIC_SPECIES
Ag 107.87 Ag.upf
P 30.97 P.upf
I 126.90 I.upf
O 16.00 O.upf
CELL_PARAMETERS angstrom
4.7649 -2.7660 0.0000
4.7649 2.7660 0.0000
-2.2803 0.0000 5.8770
ATOMIC_POSITIONS crystal
Ag 0.0000 0.0000 0.0000
P 0.1975 0.1975 0.6246
P 0.8025 0.8025 0.3754
I 0.5000 0.5000 0.5000
O 0.0879 0.6304 0.2741
O 0.1419 0.1419 0.3718
O 0.3696 0.9121 0.7259
O 0.3767 0.3767 0.7302
O 0.6233 0.6233 0.2698
O 0.6304 0.0879 0.2741
O 0.8581 0.8581 0.6282
O 0.9121 0.3696 0.7259


! GGA-PBE La2PbW, optimized geometry; values from VASP
! Calculated total energy, eV/atom: -6.34
! Formation energy from the elements, eV/atom: 0.290
! Space-group type: Pm (6)
! DOS(E_F), states/eV/cell: 4.621
&SYSTEM
  ibrav = 0, nat = 4, ntyp = 3
/
ATOMIC_SPECIES
La 138.91 La.upf
Pb 207.20 Pb.upf
W 183.84 W.upf
CELL_PARAMETERS angstrom
3.8894 0.0000 0.0000
0.0000 5.0141 0.0000
-0.0246 0.0000 5.6051
ATOMIC_POSITIONS crystal
La 0.0000 0.0000 0.0000
La 0.0052 0.5000 0.5883
Pb 0.5017 0.5000 0.1297
W 0.5035 0.0000 0.4489


! GGA-PBE KBP3, optimized geometry; values from VASP
! Calculated total energy, eV/atom: -1.96
! Formation energy from the elements, eV/atom: 2.843
! Space-group type: Pm-3m (221)
! DOS(E_F), states/eV/cell: 6.605
&SYSTEM
  ibrav = 0, nat = 5, ntyp = 3
/
ATOMIC_SPECIES
K 39.10 K.upf
B 10.81 B.upf
P 30.97 P.upf
CELL_PARAMETERS angstrom
5.3083 0.0000 0.0000
0.0000 5.3083 0.0000
0.0000 0.0000 5.3083
ATOMIC_POSITIONS crystal
K 0.0000 0.0000 0.0000
B 0.5000 0.5000 0.5000
P 0.0000 0.0000 0.5000
P 0.0000 0.5000 0.0000
P 0.5000 0.0000 0.0000


! GGA-PBE In2SbSe, optimized geometry; values from VASP
! Calculated total energy, eV/atom: -3.35
! Space-group type: P2/m (10)
! Energy relative to the elements, uncorrected, eV per atom: -0.077
! DOS(E_F), states/eV/cell: 2.633
&SYSTEM
  ibrav = 0, nat = 4, ntyp = 3
/
ATOMIC_SPECIES
In 114.82 In.upf
Sb 121.76 Sb.upf
Se 78.96 Se.upf
CELL_PARAMETERS angstrom
5.4393 0.0000 0.0000
0.0000 3.9680 0.0000
-2.4247 0.0000 5.0650
ATOMIC_POSITIONS crystal
In 0.2393 0.0000 0.2611
In 0.7607 0.0000 0.7389
Sb 0.5000 0.5000 0.0000
Se 0.0000 0.5000 0.5000


- Which value of calculated total energy does entry 5 give?
  -6.34 eV/atom


- Among the records above, which one has the lowest calculated total energy?
  La2PbW